1.
An optimized crystal structure of Ac6InHg. Source: the Alexandria database, functional GGA-PBE.

The total energy comes out at -58.8 eV for the cell shown. The formation energy is -0.212 eV/atom.

The space group is I4/mmm (No. 139) and the conventional cell measures 5.719, 5.719 and 19.369 Å, with angles of 90.00, 90.00 and 90.00 degrees. The inequivalent atoms are Ac at (0.000, 0.000, 0.249), Ac at (0.000, 0.500, 0.106), In at (0.000, 0.000, 0.000) and Hg at (0.000, 0.000, 0.500).

=====

2.
An optimized crystal structure of PrAlZn. Source: the Alexandria database, functional GGA-PBE.

The total energy comes out at -43.0 eV for the cell shown. The formation energy is -0.316 eV/atom.

The space group is F-43m (No. 216) and the conventional cell measures 6.641, 6.641 and 6.641 Å, with angles of 90.00, 90.00 and 90.00 degrees. The inequivalent atoms are Pr at (0.000, 0.000, 0.000), Al at (0.000, 0.000, 0.500) and Zn at (0.250, 0.250, 0.250).

=====

3.
An optimized crystal structure of La5Pm2Ho. Source: the Alexandria database, functional GGA-PBE.

The total energy comes out at -151.5 eV for the cell shown. The formation energy is 0.107 eV/atom.

The space group is Cmcm (No. 63) and the conventional cell measures 5.734, 12.192 and 16.648 Å, with angles of 90.00, 90.00 and 90.00 degrees. The inequivalent atoms are La at (0.000, 0.034, 0.250), La at (0.000, 0.114, 0.553), La at (0.000, 0.422, 0.593), Pm at (0.000, 0.276, 0.134) and Ho at (0.000, 0.248, 0.750).

=====

Q: Which value of total energy does entry 1 give?
A: -58.8 eV for the cell shown

=====

Copy entry 3 word for word.
An optimized crystal structure of La5Pm2Ho. Source: the Alexandria database, functional GGA-PBE.

The total energy comes out at -151.5 eV for the cell shown. The formation energy is 0.107 eV/atom.

The space group is Cmcm (No. 63) and the conventional cell measures 5.734, 12.192 and 16.648 Å, with angles of 90.00, 90.00 and 90.00 degrees. The inequivalent atoms are La at (0.000, 0.034, 0.250), La at (0.000, 0.114, 0.553), La at (0.000, 0.422, 0.593), Pm at (0.000, 0.276, 0.134) and Ho at (0.000, 0.248, 0.750).